Below is an optimized crystal structure of NaZr2CoC, with properties calculated at the GGA-PBE level.

Calculated values
VASP energy	-32.7	eV per cell
DOS(E_F)	1.197	states/eV per atom
total magnetization	0.53	μB per cell

Cell lengths 4.485, 4.485, 4.481 Å; angles 90.00, 90.00, 90.00 degrees
Positions (direct):
1 Na 0.000 0.000 0.000
2 Zr 0.000 0.500 0.500
3 Zr 0.500 0.000 0.500
4 Co 0.500 0.500 0.000
5 C 0.000 0.000 0.500